[1]
# ZrTc2Cl

An optimized crystal structure of ZrTc2Cl (PBE, the Alexandria database).

Cell lengths 9.162, 9.162, 9.162 Å; angles 19.19, 19.19, 19.19 degrees
Fractional coordinates of all 4 atoms:
Zr1 0.498 0.498 0.498
Cl1 0.759 0.759 0.759
Tc1 0.255 0.255 0.255
Tc2 0.988 0.988 0.988

Values from the calculation:
Volume ... 73 Å³/cell
Excess energy over the best structure of this formula in the dataset ... 193 meV per atom
DFT total energy ... -31.2 eV/cell

[2]
# ZrTc2Cl

An optimized crystal structure of ZrTc2Cl (PBE, the Alexandria database).

Cell lengths 3.025, 3.054, 7.744 Å; angles 78.58, 90.00, 90.00 degrees
Fractional coordinates of all 4 atoms:
Zr1 0.000 0.564 0.495
Tc1 0.500 0.199 0.227
Tc2 0.000 0.791 0.044
Cl1 0.500 0.945 0.734

Values from the calculation:
Volume ... 70 Å³/cell
Excess energy over the best structure of this formula in the dataset ... 0 meV per atom
DFT total energy ... -32.0 eV/cell

[3]
# ZrTc2Cl

An optimized crystal structure of ZrTc2Cl (PBE, the Alexandria database).

Cell lengths 3.037, 3.037, 7.992 Å; angles 90.00, 90.00, 90.00 degrees
Fractional coordinates of all 4 atoms:
Zr1 0.000 0.000 0.493
Cl1 0.500 0.500 0.713
Tc1 0.000 0.000 0.062
Tc2 0.500 0.500 0.232

Values from the calculation:
Volume ... 74 Å³/cell
Excess energy over the best structure of this formula in the dataset ... 51 meV per atom
DFT total energy ... -31.8 eV/cell

[4]
# Zr2TcCl

An optimized crystal structure of Zr2TcCl (PBE, the Alexandria database).

Cell lengths 3.111, 3.111, 9.766 Å; angles 90.00, 90.00, 115.09 degrees
Fractional coordinates of all 4 atoms:
Tc1 0.500 0.500 0.791
Cl1 0.000 0.000 0.462
Zr1 0.000 0.000 0.989
Zr2 0.500 0.500 0.258

Values from the calculation:
Volume ... 86 Å³/cell
Excess energy over the best structure of this formula in the dataset ... 566 meV per atom
DFT total energy ... -29.8 eV/cell

[5]
# Zr2TcCl

An optimized crystal structure of Zr2TcCl (PBE, the Alexandria database).

Cell lengths 3.220, 3.305, 7.778 Å; angles 89.99, 90.00, 90.00 degrees
Fractional coordinates of all 4 atoms:
Zr1 0.000 0.250 0.544
Zr2 0.000 0.250 0.956
Cl1 0.500 0.250 0.250
Tc1 0.500 0.750 0.750

Values from the calculation:
Volume ... 83 Å³/cell
Excess energy over the best structure of this formula in the dataset ... 0 meV per atom
DFT total energy ... -32.0 eV/cell

[6]
# Zr3TcCl

An optimized crystal structure of Zr3TcCl (PBE, the Alexandria database).

Cell lengths 4.723, 4.723, 4.723 Å; angles 90.00, 90.00, 90.00 degrees
Fractional coordinates of all 5 atoms:
Zr1 0.000 0.500 0.000
Zr2 0.500 0.000 0.000
Zr3 0.000 0.000 0.500
Cl1 0.000 0.000 0.000
Tc1 0.500 0.500 0.500

Values from the calculation:
Volume ... 105 Å³/cell
Excess energy over the best structure of this formula in the dataset ... 0 meV per atom
DFT total energy ... -36.4 eV/cell

[7]
# Zr2TcCl

An optimized crystal structure of Zr2TcCl (PBE, the Alexandria database).

Cell lengths 5.853, 5.853, 5.853 Å; angles 142.28, 142.28, 54.40 degrees
Fractional coordinates of all 4 atoms:
Zr1 0.000 0.000 0.000
Zr2 0.250 0.750 0.500
Cl1 0.500 0.500 0.000
Tc1 0.750 0.250 0.500

Values from the calculation:
Volume ... 75 Å³/cell
Excess energy over the best structure of this formula in the dataset ... 695 meV per atom
DFT total energy ... -29.2 eV/cell

[8]
# Zr2TcCl

An optimized crystal structure of Zr2TcCl (PBE, the Alexandria database).

Cell lengths 5.046, 3.057, 5.092 Å; angles 78.04, 90.00, 90.00 degrees
Fractional coordinates of all 4 atoms:
Cl1 0.000 0.621 0.403
Tc1 0.500 0.701 0.860
Zr1 0.000 0.960 0.873
Zr2 0.500 0.218 0.364

Values from the calculation:
Volume ... 77 Å³/cell
Excess energy over the best structure of this formula in the dataset ... 499 meV per atom
DFT total energy ... -30.0 eV/cell